Entry 1:
Density functional theory data (PBE-GGA) for a geometry-optimized Hg5H structure.

Cell: 3.8561 13.5218 5.6454 Å, 90.00 90.00 90.00°
Space group Cmmm (No. 65)
One atom of each set of equivalent atoms:
Hg 0.0000 0.0000 0.0000 (multiplicity 2)
Hg 0.0000 0.1204 0.5000 (multiplicity 4)
Hg 0.0000 0.3323 0.0000 (multiplicity 4)
H 0.0000 0.5000 0.5000 (multiplicity 2)

Properties
Volume   24.53 Å³ per atom
Raw total energy   -0.519 eV/atom

=====

Entry 2:
Density functional theory data (PBE-GGA) for a geometry-optimized RbTh2TcO8 structure.

Cell: 5.1193 5.2688 7.3655 Å, 89.74 89.50 88.46°
Space group P-1 (No. 2)
One atom of each set of equivalent atoms:
Rb 0.0000 0.0000 0.0000 (multiplicity 1)
Th 0.4986 0.4990 0.2476 (multiplicity 2)
Tc 0.0000 0.0000 0.5000 (multiplicity 1)
O 0.1960 0.8258 0.6785 (multiplicity 2)
O 0.2007 0.8307 0.3200 (multiplicity 2)
O 0.2574 0.2772 0.5011 (multiplicity 2)
O 0.2992 0.3734 0.0009 (multiplicity 2)

Properties
Raw formation energy   -2.3738 eV per atom
Volume   16.55 Å³ per atom
Raw total energy   -7.860 eV/atom

=====

Entry 3:
Density functional theory data (PBE-GGA) for a geometry-optimized SmCd6Hg12 structure.

Cell: 11.4456 11.4456 13.0988 Å, 90.00 90.00 120.00°
Space group R-3 (No. 148, hexagonal axes)
One atom of each set of equivalent atoms:
Sm 0.0000 0.0000 0.0000 (multiplicity 3)
Cd 0.0155 0.4339 0.7137 (multiplicity 18)
Hg 0.0387 0.1892 0.8140 (multiplicity 18)
Hg 0.0610 0.8570 0.4050 (multiplicity 18)

Properties
Formation enthalpy at 0 K   -0.044 eV per atom
Volume   26.07 Å³ per atom
Raw total energy   -0.772 eV/atom

=====

Entry 4:
Density functional theory data (PBE-GGA) for a geometry-optimized AcNbRu2 structure.

Cell: 3.2730 3.2730 7.4754 Å, 90.00 90.00 90.00°
Space group P4/mmm (No. 123)
One atom of each set of equivalent atoms:
Ac 0.0000 0.0000 0.0000 (multiplicity 1)
Nb 0.0000 0.0000 0.5000 (multiplicity 1)
Ru 0.5000 0.5000 0.3040 (multiplicity 2)

Properties
Formation enthalpy at 0 K   -0.017 eV per atom
Volume   20.02 Å³ per atom
Raw total energy   -8.200 eV/atom

=====

Entry 5:
Density functional theory data (PBE-GGA) for a geometry-optimized HgP2Ru structure.

Cell: 5.5296 7.0493 4.4466 Å, 90.00 125.92 90.00°
Space group C2/m (No. 12)
One atom of each set of equivalent atoms:
Hg 0.0000 0.0000 0.0000 (multiplicity 2)
P 0.2500 0.2500 0.5000 (multiplicity 4)
Ru 0.0000 0.5000 0.0000 (multiplicity 2)

Properties
Formation enthalpy at 0 K   0.611 eV per atom
Volume   17.55 Å³ per atom
Raw total energy   -4.488 eV/atom

=====

Entry 6:
Density functional theory data (PBE-GGA) for a geometry-optimized ThMgTc structure.

Cell: 10.3563 4.5810 7.2310 Å, 90.00 125.21 90.00°
Space group C2/m (No. 12)
One atom of each set of equivalent atoms:
Th 0.0844 0.0000 0.3318 (multiplicity 4)
Mg 0.1912 0.5000 0.0795 (multiplicity 4)
Tc 0.1436 0.5000 0.6416 (multiplicity 4)

Properties
Formation enthalpy at 0 K   -0.037 eV per atom
Volume   23.36 Å³ per atom
Raw total energy   -6.497 eV/atom

=====

Entry 7:
Density functional theory data (PBE-GGA) for a geometry-optimized Sr2MgTe3 structure.

Cell: 9.6234 4.6249 18.7126 Å, 90.00 90.00 90.00°
Space group Pnma (No. 62)
One atom of each set of equivalent atoms:
Sr 0.0722 0.2500 0.2155 (multiplicity 4)
Sr 0.2396 0.2500 0.9630 (multiplicity 4)
Mg 0.1247 0.2500 0.6346 (multiplicity 4)
Te 0.0213 0.2500 0.4044 (multiplicity 4)
Te 0.1148 0.7500 0.0726 (multiplicity 4)
Te 0.1921 0.2500 0.7790 (multiplicity 4)

Properties
Raw formation energy   -1.3957 eV per atom
Volume   34.70 Å³ per atom
Raw total energy   -3.793 eV/atom

=====

Entry 8:
Density functional theory data (PBE-GGA) for a geometry-optimized TbPaCoCl structure.

Cell: 3.8708 3.8708 45.8000 Å, 90.00 90.00 120.00°
Space group R-3m (No. 166, hexagonal axes)
One atom of each set of equivalent atoms:
Tb 0.0000 0.0000 0.0897 (multiplicity 6)
Pa 0.0000 0.0000 0.3093 (multiplicity 6)
Co 0.0000 0.0000 0.3830 (multiplicity 6)
Cl 0.0000 0.0000 0.2061 (multiplicity 6)

Properties
Raw formation energy   -0.8893 eV per atom
Volume   24.76 Å³ per atom
Raw total energy   -6.659 eV/atom

=====

Entry 9:
Density functional theory data (PBE-GGA) for a geometry-optimized ZnReCl2 structure.

Cell: 2.9220 4.1470 5.7714 Å, 90.00 102.00 90.00°
Space group P2/m (No. 10)
One atom of each set of equivalent atoms:
Zn 0.0000 0.0000 0.0000 (multiplicity 1)
Re 0.5000 0.0000 0.5000 (multiplicity 1)
Cl 0.4288 0.5000 0.2595 (multiplicity 2)

Properties
Raw formation energy   0.4610 eV per atom
Volume   17.10 Å³ per atom
Raw total energy   -3.893 eV/atom

=====

Entry 10:
Density functional theory data (PBE-GGA) for a geometry-optimized Nd4Ni3Ge structure.

Cell: 4.0644 4.2699 10.5905 Å, 90.00 90.00 90.00°
Space group Pmm2 (No. 25)
One atom of each set of equivalent atoms:
Nd 0.0000 0.0000 0.0000 (multiplicity 1)
Nd 0.0000 0.5000 0.2707 (multiplicity 1)
Nd 0.5000 0.0000 0.4836 (multiplicity 1)
Nd 0.5000 0.5000 0.7734 (multiplicity 1)
Ni 0.0000 0.5000 0.5596 (multiplicity 1)
Ni 0.5000 0.0000 0.2001 (multiplicity 1)
Ni 0.5000 0.5000 0.0700 (multiplicity 1)
Ge 0.0000 0.0000 0.6996 (multiplicity 1)

Properties
Formation enthalpy at 0 K   -0.441 eV per atom
Volume   22.97 Å³ per atom
Raw total energy   -5.570 eV/atom

=====

Entry 11:
Density functional theory data (PBE-GGA) for a geometry-optimized MgMnNiS4 structure.

Cell: 6.9830 7.0255 10.1975 Å, 90.00 90.00 90.00°
Space group Imma (No. 74)
One atom of each set of equivalent atoms:
Mg 0.0000 0.2500 0.1157 (multiplicity 4)
Mn 0.2500 0.2500 0.7500 (multiplicity 4)
Ni 0.0000 0.0000 0.5000 (multiplicity 4)
S 0.0000 0.0272 0.7387 (multiplicity 8)
S 0.2169 0.2500 0.5215 (multiplicity 8)

Properties
Raw formation energy   -0.6277 eV per atom
Volume   17.87 Å³ per atom
Raw total energy   -5.350 eV/atom

=====

Entry 12:
Density functional theory data (PBE-GGA) for a geometry-optimized Sr6MgIn structure.

Cell: 5.8881 5.8881 20.6637 Å, 90.00 90.00 90.00°
Space group I4/mmm (No. 139)
One atom of each set of equivalent atoms:
Sr 0.0000 0.0000 0.2499 (multiplicity 4)
Sr 0.0000 0.5000 0.0969 (multiplicity 8)
Mg 0.0000 0.0000 0.0000 (multiplicity 2)
In 0.0000 0.0000 0.5000 (multiplicity 2)

Properties
Formation enthalpy at 0 K   -0.131 eV per atom
Volume   44.77 Å³ per atom
Raw total energy   -1.934 eV/atom

=====

- Look up the volume of the fourth one.
  20.02 Å³ per atom